Material: LiAc3Sm2S6
Method: DFT, PBE-GGA
State: relaxed

Summary:
ΔE_f (raw): -1.928 eV/atom
Crystal system: monoclinic

a b c (Å): 7.190 7.190 7.158
angles (deg): 99.65 99.65 120.18
Sites, in units of the cell vectors:
S: 0.749 0.749 0.225
S: 0.251 0.251 0.775
S: 0.075 0.402 0.226
S: 0.402 0.075 0.226
S: 0.598 0.925 0.774
S: 0.925 0.598 0.774
Li: 0.000 0.000 0.000
Ac: 0.833 0.167 0.500
Ac: 0.500 0.500 0.500
Ac: 0.167 0.833 0.500
Sm: 0.334 0.666 0.000
Sm: 0.666 0.334 0.000


Material: ZrTi2SbN
Method: DFT, PBE-GGA
State: relaxed

Summary:
ΔE_f (raw): -0.884 eV/atom
Crystal system: tetragonal

a b c (Å): 4.154 4.154 4.691
angles (deg): 90.00 90.00 90.00
Sites, in units of the cell vectors:
Zr: 0.000 0.000 0.500
Ti: 0.500 0.000 0.000
Ti: 0.000 0.500 0.000
Sb: 0.500 0.500 0.500
N: 0.000 0.000 0.000


Material: VZn2Si
Method: DFT, PBE-GGA
State: relaxed

Summary:
ΔE_f (raw): 0.484 eV/atom
Crystal system: trigonal

a b c (Å): 2.600 2.600 10.575
angles (deg): 82.94 82.94 60.00
Sites, in units of the cell vectors:
V: 0.000 0.000 0.000
Si: 0.500 0.500 0.500
Zn: 0.914 0.914 0.257
Zn: 0.086 0.086 0.743


Material: BaAsPSe2
Method: DFT, PBE-GGA
State: relaxed

Summary:
ΔE to the lowest computed polymorph: 0 meV/atom
ΔE_f (raw): -0.472 eV/atom
Crystal system: tetragonal

a b c (Å): 5.205 5.205 4.782
angles (deg): 90.00 90.00 90.00
Sites, in units of the cell vectors:
Se: 0.000 0.500 0.000
Se: 0.500 0.000 0.000
As: 0.000 0.000 0.500
P: 0.000 0.000 0.000
Ba: 0.500 0.500 0.500


Material: MoPb2
Method: DFT, PBE-GGA
State: relaxed

Summary:
E_form: 0.6440 eV per atom
ΔE to the lowest computed polymorph: 247 meV/atom
Crystal system: tetragonal

a b c (Å): 3.685 3.685 9.949
angles (deg): 90.00 90.00 90.00
Sites, in units of the cell vectors:
Mo: 0.500 0.500 0.000
Mo: 0.000 0.000 0.500
Pb: 0.500 0.500 0.653
Pb: 0.500 0.500 0.347
Pb: 0.000 0.000 0.847
Pb: 0.000 0.000 0.153


Material: Sc2Pd5Pt
Method: DFT, PBE-GGA
State: relaxed

Summary:
E_form: -0.8863 eV per atom
Crystal system: orthorhombic

a b c (Å): 4.017 5.658 11.321
angles (deg): 90.00 90.00 90.00
Sites, in units of the cell vectors:
Sc: 0.500 0.752 0.376
Sc: 0.500 0.748 0.876
Sc: 0.500 0.248 0.624
Sc: 0.500 0.252 0.124
Pd: 0.000 0.501 0.750
Pd: 0.500 0.251 0.875
Pd: 0.000 0.499 0.250
Pd: 0.500 0.751 0.625
Pd: 0.000 0.999 0.250
Pd: 0.000 0.500 0.500
Pd: 0.500 0.249 0.375
Pd: 0.000 0.001 0.750
Pd: 0.500 0.749 0.125
Pd: 0.000 0.000 0.000
Pt: 0.000 0.500 0.000
Pt: 0.000 0.000 0.500


Material: SmEr6Pd2
Method: DFT, PBE-GGA
State: relaxed

Summary:
E_form: -0.3679 eV per atom
Crystal system: monoclinic

a b c (Å): 3.658 8.212 8.639
angles (deg): 79.84 77.78 77.13
Sites, in units of the cell vectors:
Er: 0.714 0.683 0.890
Er: 0.967 0.877 0.188
Er: 0.306 0.835 0.554
Er: 0.033 0.123 0.812
Er: 0.694 0.165 0.446
Er: 0.286 0.317 0.110
Pd: 0.596 0.581 0.227
Pd: 0.404 0.419 0.773
Sm: 0.000 0.500 0.500


Material: CeTiSb2
Method: DFT, PBE-GGA
State: relaxed

Summary:
ΔE to the lowest computed polymorph: 965 meV/atom
ΔE_f (raw): 0.250 eV/atom
Crystal system: trigonal

a b c (Å): 4.400 4.400 9.301
angles (deg): 76.32 76.32 60.00
Sites, in units of the cell vectors:
Sb: 0.901 0.901 0.298
Sb: 0.099 0.099 0.702
Ce: 0.500 0.500 0.500
Ti: 0.000 0.000 0.000